Record 1
This record from Alexandria via LeMat-Bulk describes an optimized crystal structure of Pr8N6F. The functional is PBE.

a = 9.7914 Å, b = 9.7914 Å, c = 3.7366 Å
α = 90.00°, β = 90.00°, γ = 120.00°
Sites, in units of the cell vectors:
1 Pr 0.0333 0.6716 0.2532
2 Pr 0.3284 0.3617 0.2532
3 Pr 0.3333 0.6667 0.7508
4 Pr 0.3617 0.0333 0.7468
5 Pr 0.6383 0.9667 0.2532
6 Pr 0.6667 0.3333 0.2492
7 Pr 0.6716 0.6383 0.7468
8 Pr 0.9667 0.3284 0.7468
9 N 0.1342 0.4783 0.2484
10 N 0.3440 0.8658 0.2484
11 N 0.4783 0.3440 0.7516
12 N 0.5217 0.6560 0.2484
13 N 0.6560 0.1342 0.7516
14 N 0.8658 0.5217 0.7516
15 F 0.0000 0.0000 0.5000

Calculated values
- energy (eV per atom) = -7.16
- M_tot (μB/cell) = 0.00
- formation energy (no corrections) (meV per atom) = -1161


Record 2
This record from Alexandria via LeMat-Bulk describes an optimized crystal structure of TcSnSN2. The functional is PBE.

a = 3.9099 Å, b = 3.9099 Å, c = 5.1092 Å
α = 90.00°, β = 90.00°, γ = 90.00°
Sites, in units of the cell vectors:
1 Tc 0.0000 0.0000 0.0000
2 Sn 0.5000 0.5000 0.5000
3 S 0.0000 0.0000 0.5000
4 N 0.0000 0.5000 0.0000
5 N 0.5000 0.0000 0.0000

Calculated values
- energy (eV per atom) = -6.62
- M_tot (μB/cell) = 0.12
- polymorph energy (0 for the lowest one) (meV/atom) = 0
- formation energy (no corrections) (meV per atom) = 406


Record 3
This record from Alexandria via LeMat-Bulk describes an optimized crystal structure of ScSBr2. The functional is PBE.

a = 11.1955 Å, b = 11.1955 Å, c = 11.1955 Å
α = 19.78°, β = 19.78°, γ = 19.78°
Sites, in units of the cell vectors:
1 Sc 0.0000 0.0000 0.0000
2 S 0.5000 0.5000 0.5000
3 Br 0.0737 0.0737 0.0737
4 Br 0.9263 0.9263 0.9263

Calculated values
- energy (eV per atom) = -3.38
- M_tot (μB/cell) = 1.95
- polymorph energy (0 for the lowest one) (meV/atom) = 1149
- formation energy (no corrections) (meV per atom) = 72


Record 4
This record from Alexandria via LeMat-Bulk describes an optimized crystal structure of Al2Tl4Te. The functional is PBE.

a = 8.4152 Å, b = 8.4152 Å, c = 8.4152 Å
α = 138.23°, β = 138.23°, γ = 60.54°
Sites, in units of the cell vectors:
1 Al 0.0890 0.0890 0.0000
2 Al 0.9110 0.9110 0.0000
3 Tl 0.0000 0.5000 0.5000
4 Tl 0.2860 0.2860 0.0000
5 Tl 0.5000 0.0000 0.5000
6 Tl 0.7140 0.7140 0.0000
7 Te 0.5000 0.5000 0.0000

Calculated values
- energy (eV per atom) = -2.44
- M_tot (μB/cell) = 0.00
- formation energy (no corrections) (meV per atom) = 427


Record 5
This record from Alexandria via LeMat-Bulk describes an optimized crystal structure of GaHg3Pb2. The functional is PBE.

a = 9.0033 Å, b = 9.0033 Å, c = 6.8860 Å
α = 90.00°, β = 90.00°, γ = 36.09°
Sites, in units of the cell vectors:
1 Ga 0.0007 0.9993 0.5000
2 Ga 0.9993 0.0007 0.0000
3 Hg 0.1378 0.1378 0.2491
4 Hg 0.1378 0.1378 0.7491
5 Hg 0.4993 0.5007 0.9954
6 Hg 0.5007 0.4993 0.4954
7 Hg 0.8622 0.8622 0.2491
8 Hg 0.8622 0.8622 0.7491
9 Pb 0.3114 0.3118 0.4989
10 Pb 0.3118 0.3114 0.9989
11 Pb 0.6882 0.6886 0.4989
12 Pb 0.6886 0.6882 0.9989

Calculated values
- energy (eV per atom) = -1.83
- M_tot (μB/cell) = 0.00
- energy relative to the elements (kJ/mol of atoms) = 6


Record 6
This record from Alexandria via LeMat-Bulk describes an optimized crystal structure of Hf2Ti2Co15. The functional is PBE.

a = 6.2338 Å, b = 6.2338 Å, c = 6.2338 Å
α = 82.31°, β = 82.31°, γ = 82.31°
Sites, in units of the cell vectors:
1 Hf 0.1449 0.1449 0.1449
2 Hf 0.8551 0.8551 0.8551
3 Ti 0.3927 0.3927 0.3927
4 Ti 0.6073 0.6073 0.6073
5 Co 0.0000 0.5000 0.5000
6 Co 0.1474 0.1474 0.6585
7 Co 0.1474 0.6585 0.1474
8 Co 0.2009 0.5000 0.7991
9 Co 0.2009 0.7991 0.5000
10 Co 0.3415 0.8526 0.8526
11 Co 0.5000 0.0000 0.5000
12 Co 0.5000 0.2009 0.7991
13 Co 0.5000 0.5000 0.0000
14 Co 0.5000 0.7991 0.2009
15 Co 0.6585 0.1474 0.1474
16 Co 0.7991 0.2009 0.5000
17 Co 0.7991 0.5000 0.2009
18 Co 0.8526 0.3415 0.8526
19 Co 0.8526 0.8526 0.3415

Calculated values
- energy (eV per atom) = -7.66
- M_tot (μB/cell) = 17.28
- energy relative to the elements (kJ/mol of atoms) = -17


Please write out number 5 again, unchanged.
This record from Alexandria via LeMat-Bulk describes an optimized crystal structure of GaHg3Pb2. The functional is PBE.

a = 9.0033 Å, b = 9.0033 Å, c = 6.8860 Å
α = 90.00°, β = 90.00°, γ = 36.09°
Sites, in units of the cell vectors:
1 Ga 0.0007 0.9993 0.5000
2 Ga 0.9993 0.0007 0.0000
3 Hg 0.1378 0.1378 0.2491
4 Hg 0.1378 0.1378 0.7491
5 Hg 0.4993 0.5007 0.9954
6 Hg 0.5007 0.4993 0.4954
7 Hg 0.8622 0.8622 0.2491
8 Hg 0.8622 0.8622 0.7491
9 Pb 0.3114 0.3118 0.4989
10 Pb 0.3118 0.3114 0.9989
11 Pb 0.6882 0.6886 0.4989
12 Pb 0.6886 0.6882 0.9989

Calculated values
- energy (eV per atom) = -1.83
- M_tot (μB/cell) = 0.00
- energy relative to the elements (kJ/mol of atoms) = 6


> Which formula does entry 5 have?

GaHg3Pb2